VASP calculation (PBE-GGA) on a relaxed structure of TlPbI2N.

abc: 6.279 6.279 5.640
angles: 90.00 90.00 90.00
Sites, in units of the cell vectors:
Pb: 0.000 0.000 0.000
I: 0.000 0.500 0.000
I: 0.500 0.000 0.000
Tl: 0.500 0.500 0.500
N: 0.000 0.000 0.500

Results
As for the symmetry: P4/mmm (123). The value obtained for the raw formation energy is 0.492 eV/atom. For the relative energy among the computed polymorphs, the calculation gives 0 meV per atom.


VASP calculation (PBE-GGA) on a relaxed structure of TlPbIN2.

abc: 4.682 4.682 6.323
angles: 90.00 90.00 90.00
Sites, in units of the cell vectors:
Pb: 0.500 0.500 0.500
I: 0.000 0.000 0.500
Tl: 0.000 0.000 0.000
N: 0.000 0.500 0.000
N: 0.500 0.000 0.000

Results
As for the symmetry: P4/mmm (123). The value obtained for the raw formation energy is 1.556 eV/atom. For the relative energy among the computed polymorphs, the calculation gives 269 meV per atom.


VASP calculation (PBE-GGA) on a relaxed structure of VPbI2N.

abc: 5.819 5.819 3.750
angles: 90.00 90.00 90.00
Sites, in units of the cell vectors:
Pb: 0.500 0.500 0.500
I: 0.000 0.500 0.000
I: 0.500 0.000 0.000
N: 0.000 0.000 0.500
V: 0.000 0.000 0.000

Results
As for the symmetry: P4/mmm (123). The value obtained for the raw formation energy is -0.021 eV/atom. For the relative energy among the computed polymorphs, the calculation gives 0 meV per atom.


VASP calculation (PBE-GGA) on a relaxed structure of VPbIN2.

abc: 4.322 4.322 5.904
angles: 90.00 90.00 90.00
Sites, in units of the cell vectors:
Pb: 0.000 0.000 0.000
I: 0.000 0.000 0.500
N: 0.000 0.500 0.000
N: 0.500 0.000 0.000
V: 0.500 0.500 0.500

Results
As for the symmetry: P4/mmm (123). The value obtained for the raw formation energy is 1.812 eV/atom. For the relative energy among the computed polymorphs, the calculation gives 1123 meV per atom.


VASP calculation (PBE-GGA) on a relaxed structure of VPbIN2.

abc: 4.152 4.152 5.452
angles: 90.00 90.00 90.00
Sites, in units of the cell vectors:
Pb: 0.500 0.500 0.500
I: 0.000 0.000 0.500
N: 0.000 0.500 0.000
N: 0.500 0.000 0.000
V: 0.000 0.000 0.000

Results
As for the symmetry: P4/mmm (123). The value obtained for the raw formation energy is 0.689 eV/atom. For the relative energy among the computed polymorphs, the calculation gives 0 meV per atom.


VASP calculation (PBE-GGA) on a relaxed structure of VPbI2N.

abc: 5.782 5.782 4.262
angles: 90.00 90.00 90.00
Sites, in units of the cell vectors:
Pb: 0.000 0.000 0.000
I: 0.000 0.500 0.000
I: 0.500 0.000 0.000
N: 0.000 0.000 0.500
V: 0.500 0.500 0.500

Results
As for the symmetry: P4/mmm (123). The value obtained for the raw formation energy is 1.253 eV/atom. For the relative energy among the computed polymorphs, the calculation gives 1274 meV per atom.


VASP calculation (PBE-GGA) on a relaxed structure of PbWIN2.

abc: 4.166 4.166 5.594
angles: 90.00 90.00 90.00
Sites, in units of the cell vectors:
Pb: 0.500 0.500 0.500
I: 0.000 0.000 0.500
W: 0.000 0.000 0.000
N: 0.000 0.500 0.000
N: 0.500 0.000 0.000

Results
As for the symmetry: P4/mmm (123). The value obtained for the raw formation energy is 0.746 eV/atom. For the relative energy among the computed polymorphs, the calculation gives 0 meV per atom.


VASP calculation (PBE-GGA) on a relaxed structure of PbWIN2.

abc: 4.354 4.354 6.262
angles: 90.00 90.00 90.00
Sites, in units of the cell vectors:
Pb: 0.000 0.000 0.000
I: 0.000 0.000 0.500
W: 0.500 0.500 0.500
N: 0.000 0.500 0.000
N: 0.500 0.000 0.000

Results
As for the symmetry: P4/mmm (123). The value obtained for the raw formation energy is 2.560 eV/atom. For the relative energy among the computed polymorphs, the calculation gives 1814 meV per atom.


VASP calculation (PBE-GGA) on a relaxed structure of ZnPbIN2.

abc: 4.315 4.315 5.724
angles: 90.00 90.00 90.00
Sites, in units of the cell vectors:
Pb: 0.500 0.500 0.500
I: 0.000 0.000 0.500
Zn: 0.000 0.000 0.000
N: 0.000 0.500 0.000
N: 0.500 0.000 0.000

Results
As for the symmetry: P4/mmm (123). The value obtained for the raw formation energy is 1.377 eV/atom. For the relative energy among the computed polymorphs, the calculation gives 0 meV per atom.


VASP calculation (PBE-GGA) on a relaxed structure of ZnPbIN2.

abc: 4.435 4.435 6.921
angles: 90.00 90.00 90.00
Sites, in units of the cell vectors:
Pb: 0.000 0.000 0.000
I: 0.000 0.000 0.500
Zn: 0.500 0.500 0.500
N: 0.000 0.500 0.000
N: 0.500 0.000 0.000

Results
As for the symmetry: P4/mmm (123). The value obtained for the raw formation energy is 1.530 eV/atom. For the relative energy among the computed polymorphs, the calculation gives 153 meV per atom.


VASP calculation (PBE-GGA) on a relaxed structure of PdI3N.

abc: 5.521 5.521 5.521
angles: 90.00 90.00 90.00
Sites, in units of the cell vectors:
I: 0.000 0.500 0.000
I: 0.000 0.000 0.500
I: 0.500 0.000 0.000
Pd: 0.000 0.000 0.000
N: 0.500 0.500 0.500

Results
As for the symmetry: Pm-3m (221). The value obtained for the raw formation energy is 1.056 eV/atom. For the relative energy among the computed polymorphs, the calculation gives 464 meV per atom.


VASP calculation (PBE-GGA) on a relaxed structure of PdI3N.

abc: 4.995 4.995 4.995
angles: 90.00 90.00 90.00
Sites, in units of the cell vectors:
I: 0.000 0.500 0.000
I: 0.000 0.000 0.500
I: 0.500 0.000 0.000
Pd: 0.500 0.500 0.500
N: 0.000 0.000 0.000

Results
As for the symmetry: Pm-3m (221). The value obtained for the raw formation energy is 1.170 eV/atom. For the relative energy among the computed polymorphs, the calculation gives 579 meV per atom.


VASP calculation (PBE-GGA) on a relaxed structure of PdIN.

abc: 3.225 4.781 12.639
angles: 124.75 82.27 90.00
Sites, in units of the cell vectors:
N: 0.970 0.586 0.057
N: 0.030 0.414 0.943
Pd: 0.395 0.800 0.199
Pd: 0.605 0.200 0.801
I: 0.671 0.511 0.676
I: 0.329 0.489 0.324

Results
As for the symmetry: P-1 (2). The value obtained for the raw formation energy is 0.249 eV/atom. For the relative energy among the computed polymorphs, the calculation gives 0 meV per atom.


VASP calculation (PBE-GGA) on a relaxed structure of PdIN2.

abc: 4.172 4.172 4.172
angles: 60.00 60.00 60.00
Sites, in units of the cell vectors:
I: 0.500 0.500 0.500
Pd: 0.000 0.000 0.000
N: 0.250 0.250 0.250
N: 0.750 0.750 0.750

Results
As for the symmetry: Fm-3m (225). The value obtained for the raw formation energy is 2.094 eV/atom. For the relative energy among the computed polymorphs, the calculation gives 938 meV per atom.


VASP calculation (PBE-GGA) on a relaxed structure of Pd3IN.

abc: 5.061 5.061 5.061
angles: 90.00 90.00 90.00
Sites, in units of the cell vectors:
I: 0.000 0.000 0.000
Pd: 0.000 0.500 0.000
Pd: 0.000 0.000 0.500
Pd: 0.500 0.000 0.000
N: 0.500 0.500 0.500

Results
As for the symmetry: Pm-3m (221). The value obtained for the raw formation energy is 1.594 eV/atom. For the relative energy among the computed polymorphs, the calculation gives 1160 meV per atom.


VASP calculation (PBE-GGA) on a relaxed structure of PdIN3.

abc: 4.014 4.014 4.014
angles: 90.00 90.00 90.00
Sites, in units of the cell vectors:
I: 0.500 0.500 0.500
Pd: 0.000 0.000 0.000
N: 0.000 0.500 0.000
N: 0.000 0.000 0.500
N: 0.500 0.000 0.000

Results
As for the symmetry: Pm-3m (221). The value obtained for the raw formation energy is 2.149 eV/atom.


VASP calculation (PBE-GGA) on a relaxed structure of PdIN.

abc: 5.366 7.132 7.287
angles: 90.00 104.86 90.00
Sites, in units of the cell vectors:
Pd: 0.000 0.722 0.000
Pd: 0.500 0.778 0.000
Pd: 0.500 0.222 0.000
Pd: 0.000 0.278 0.000
I: 0.661 0.500 0.269
I: 0.161 0.000 0.269
I: 0.839 0.000 0.731
I: 0.339 0.500 0.731
N: 0.983 0.500 0.814
N: 0.483 0.000 0.814
N: 0.517 0.000 0.186
N: 0.017 0.500 0.186

Results
As for the symmetry: C2/m (12). The value obtained for the raw formation energy is 0.855 eV/atom. For the relative energy among the computed polymorphs, the calculation gives 606 meV per atom.


VASP calculation (PBE-GGA) on a relaxed structure of Pd3IN.

abc: 4.333 4.333 4.333
angles: 90.00 90.00 90.00
Sites, in units of the cell vectors:
I: 0.500 0.500 0.500
Pd: 0.000 0.500 0.000
Pd: 0.000 0.000 0.500
Pd: 0.500 0.000 0.000
N: 0.000 0.000 0.000

Results
As for the symmetry: Pm-3m (221). The value obtained for the raw formation energy is 0.435 eV/atom. For the relative energy among the computed polymorphs, the calculation gives 0 meV per atom.


VASP calculation (PBE-GGA) on a relaxed structure of Pd2IN.

abc: 4.489 4.489 4.489
angles: 60.00 60.00 60.00
Sites, in units of the cell vectors:
I: 0.500 0.500 0.500
Pd: 0.250 0.250 0.250
Pd: 0.750 0.750 0.750
N: 0.000 0.000 0.000

Results
As for the symmetry: Fm-3m (225). The value obtained for the raw formation energy is 1.139 eV/atom. For the relative energy among the computed polymorphs, the calculation gives 682 meV per atom.


VASP calculation (PBE-GGA) on a relaxed structure of PdIN2.

abc: 6.548 6.548 6.548
angles: 30.70 30.70 30.70
Sites, in units of the cell vectors:
I: 0.500 0.500 0.500
Pd: 0.000 0.000 0.000
N: 0.894 0.894 0.894
N: 0.106 0.106 0.106

Results
As for the symmetry: R-3m (166). The value obtained for the raw formation energy is 1.573 eV/atom. For the relative energy among the computed polymorphs, the calculation gives 417 meV per atom.